The following is a DFT calculation (PBE with a Hubbard U) of a relaxed Tb2FeGeO6 crystal.

a b c (Å): 5.357 5.411 5.432
angles (deg): 61.86 62.27 63.09
Space group P-1 (No. 2)
Unique sites:
Tb 0.243 0.236 0.237 x2
Fe 0.500 0.500 0.500 x1
Ge 0.000 0.000 0.000 x1
O 0.133 0.791 0.337 x2
O 0.223 0.668 0.865 x2
O 0.335 0.145 0.784 x2

Computed properties:
Fermi-level density of states in states/eV/atom: 0.000
Size of the total moment in μB/f.u.: 4.000
Volume in Å³ per atom: 11.73
Uncorrected energy in eV per cell: -74.66
Density in g/cm3: 7.679